DFT (PBE) results for a relaxed structure of MgCd4Ag3.

Energy of formation (eV/f.u.): -0.49
Crystal system: orthorhombic
Space group: Pmn2_1, No. 31
Total energy (eV per formula unit): -14.30

Unit cell a=6.767 b=6.839 c=6.845 alpha=90.00 beta=90.00 gamma=90.00
Fractional coordinates of all 16 atoms:
Mg (0.000, 0.032, 0.000)
Mg (0.500, 0.968, 0.500)
Cd (0.000, 0.517, 0.475)
Cd (0.000, 0.985, 0.477)
Cd (0.247, 0.259, 0.712)
Cd (0.253, 0.741, 0.212)
Cd (0.500, 0.015, 0.977)
Cd (0.500, 0.483, 0.975)
Cd (0.747, 0.741, 0.212)
Cd (0.753, 0.259, 0.712)
Ag (0.000, 0.461, 0.001)
Ag (0.227, 0.752, 0.765)
Ag (0.273, 0.248, 0.265)
Ag (0.500, 0.539, 0.501)
Ag (0.727, 0.248, 0.265)
Ag (0.773, 0.752, 0.765)